DFT (PBE-GGA) results for a relaxed PmNd10Er4 crystal.

```
data_PmNd10Er4
_cell_length_a 9.5723
_cell_length_b 9.5723
_cell_length_c 9.5723
_cell_angle_alpha 99.70
_cell_angle_beta 99.70
_cell_angle_gamma 131.52
_space_group_name_H-M_alt 'P 1'
_space_group_IT_number 1
loop_
_space_group_symop_operation_xyz
'x,y,z'
loop_
_atom_site_label
_atom_site_type_symbol
_atom_site_fract_x
_atom_site_fract_y
_atom_site_fract_z
_atom_site_occupancy
Pm1 Pm 0.0000 0.0000 0.0000 1
Nd1 Nd 0.0507 0.1516 0.6984 1
Nd2 Nd 0.1516 0.4532 0.1009 1
Nd3 Nd 0.2500 0.7500 0.5000 1
Nd4 Nd 0.3523 0.0507 0.8991 1
Nd5 Nd 0.4532 0.3523 0.3016 1
Nd6 Nd 0.5468 0.6477 0.6984 1
Nd7 Nd 0.6477 0.9493 0.1009 1
Nd8 Nd 0.7500 0.2500 0.5000 1
Nd9 Nd 0.8484 0.5468 0.8991 1
Nd10 Nd 0.9493 0.8484 0.3016 1
Er1 Er 0.1993 0.6003 0.7995 1
Er2 Er 0.3997 0.1993 0.5990 1
Er3 Er 0.6003 0.8007 0.4010 1
Er4 Er 0.8007 0.3997 0.2005 1
```

Summary:
Total energy   -4.02 eV/atom
Formation energy   693 meV/atom
Crystal system   tetragonal
Space group   I4/m (87)

***

DFT (PBE-GGA) results for a relaxed Pm4Nd2Er3 crystal.

```
data_Pm4Nd2Er3
_cell_length_a 9.1795
_cell_length_b 9.1795
_cell_length_c 9.7706
_cell_angle_alpha 103.67
_cell_angle_beta 103.67
_cell_angle_gamma 22.33
_space_group_name_H-M_alt 'P 1'
_space_group_IT_number 1
loop_
_space_group_symop_operation_xyz
'x,y,z'
loop_
_atom_site_label
_atom_site_type_symbol
_atom_site_fract_x
_atom_site_fract_y
_atom_site_fract_z
_atom_site_occupancy
Pm1 Pm 0.0133 0.0133 0.1816 1
Pm2 Pm 0.3441 0.3441 0.9728 1
Pm3 Pm 0.6559 0.6559 0.0272 1
Pm4 Pm 0.9867 0.9867 0.8184 1
Nd1 Nd 0.1593 0.1593 0.7048 1
Nd2 Nd 0.8407 0.8407 0.2952 1
Er1 Er 0.3292 0.3292 0.6005 1
Er2 Er 0.5000 0.5000 0.5000 1
Er3 Er 0.6708 0.6708 0.3995 1
```

Summary:
Total energy   -4.61 eV/atom
Formation energy   86 meV/atom
Crystal system   monoclinic
Polymorph energy (0 for the lowest one)   34 meV/atom
Space group   C2/m (12)

***

DFT (PBE-GGA) results for a relaxed PmNd2Er9 crystal.

```
data_PmNd2Er9
_cell_length_a 11.2221
_cell_length_b 11.2221
_cell_length_c 3.5048
_cell_angle_alpha 90.00
_cell_angle_beta 90.00
_cell_angle_gamma 120.00
_space_group_name_H-M_alt 'P 1'
_space_group_IT_number 1
loop_
_space_group_symop_operation_xyz
'x,y,z'
loop_
_atom_site_label
_atom_site_type_symbol
_atom_site_fract_x
_atom_site_fract_y
_atom_site_fract_z
_atom_site_occupancy
Pm1 Pm 0.0000 0.0000 0.0000 1
Nd1 Nd 0.3333 0.6667 0.0000 1
Nd2 Nd 0.6667 0.3333 0.0000 1
Er1 Er 0.0000 0.5000 0.0000 1
Er2 Er 0.1755 0.3510 0.5000 1
Er3 Er 0.1755 0.8245 0.5000 1
Er4 Er 0.3510 0.1755 0.5000 1
Er5 Er 0.5000 0.0000 0.0000 1
Er6 Er 0.5000 0.5000 0.0000 1
Er7 Er 0.6490 0.8245 0.5000 1
Er8 Er 0.8245 0.1755 0.5000 1
Er9 Er 0.8245 0.6490 0.5000 1
```

Summary:
Total energy   -4.55 eV/atom
Formation energy   64 meV/atom
Crystal system   hexagonal
Polymorph energy (0 for the lowest one)   40 meV/atom
Space group   P6/mmm (191)

***

DFT (PBE-GGA) results for a relaxed Pm7Nd12Er crystal.

```
data_Pm7Nd12Er
_cell_length_a 11.1748
_cell_length_b 11.1748
_cell_length_c 11.1748
_cell_angle_alpha 115.83
_cell_angle_beta 115.83
_cell_angle_gamma 115.83
_space_group_name_H-M_alt 'P 1'
_space_group_IT_number 1
loop_
_space_group_symop_operation_xyz
'x,y,z'
loop_
_atom_site_label
_atom_site_type_symbol
_atom_site_fract_x
_atom_site_fract_y
_atom_site_fract_z
_atom_site_occupancy
Pm1 Pm 0.0000 0.0000 0.0000 1
Pm2 Pm 0.1234 0.2847 0.4276 1
Pm3 Pm 0.2847 0.4276 0.1234 1
Pm4 Pm 0.4276 0.1234 0.2847 1
Pm5 Pm 0.5724 0.8766 0.7153 1
Pm6 Pm 0.7153 0.5724 0.8766 1
Pm7 Pm 0.8766 0.7153 0.5724 1
Nd1 Nd 0.0025 0.5753 0.7888 1
Nd2 Nd 0.2112 0.9975 0.4247 1
Nd3 Nd 0.2289 0.2965 0.7518 1
Nd4 Nd 0.2482 0.7711 0.7035 1
Nd5 Nd 0.2965 0.7518 0.2289 1
Nd6 Nd 0.4247 0.2112 0.9975 1
Nd7 Nd 0.5753 0.7888 0.0025 1
Nd8 Nd 0.7035 0.2482 0.7711 1
Nd9 Nd 0.7518 0.2289 0.2965 1
Nd10 Nd 0.7711 0.7035 0.2482 1
Nd11 Nd 0.7888 0.0025 0.5753 1
Nd12 Nd 0.9975 0.4247 0.2112 1
Er1 Er 0.5000 0.5000 0.5000 1
```

Summary:
Total energy   -4.48 eV/atom
Formation energy   270 meV/atom
Crystal system   trigonal
Polymorph energy (0 for the lowest one)   51 meV/atom
Space group   R-3 (148)

***

DFT (PBE-GGA) results for a relaxed PmNd7Er5 crystal.

```
data_PmNd7Er5
_cell_length_a 8.8382
_cell_length_b 8.8382
_cell_length_c 8.8382
_cell_angle_alpha 135.21
_cell_angle_beta 99.88
_cell_angle_gamma 96.82
_space_group_name_H-M_alt 'P 1'
_space_group_IT_number 1
loop_
_space_group_symop_operation_xyz
'x,y,z'
loop_
_atom_site_label
_atom_site_type_symbol
_atom_site_fract_x
_atom_site_fract_y
_atom_site_fract_z
_atom_site_occupancy
Pm1 Pm 0.0000 0.0000 0.0000 1
Nd1 Nd 0.2292 0.5567 0.6725 1
Nd2 Nd 0.3082 0.3082 0.0000 1
Nd3 Nd 0.3087 0.8087 0.5000 1
Nd4 Nd 0.3874 0.0608 0.3267 1
Nd5 Nd 0.6159 0.6159 0.0000 1
Nd6 Nd 0.7341 0.0608 0.6733 1
Nd7 Nd 0.8842 0.5567 0.3275 1
Er1 Er 0.0401 0.0441 0.4663 1
Er2 Er 0.0401 0.5738 0.9960 1
Er3 Er 0.5778 0.0441 0.0040 1
Er4 Er 0.5778 0.5738 0.5337 1
Er5 Er 0.8087 0.3087 0.5000 1
```

Summary:
Total energy   -4.47 eV/atom
Formation energy   222 meV/atom
Crystal system   orthorhombic
Space group   Imm2 (44)

***

DFT (PBE-GGA) results for a relaxed Pm10NdEr6 crystal.

```
data_Pm10NdEr6
_cell_length_a 9.7999
_cell_length_b 9.7999
_cell_length_c 6.8817
_cell_angle_alpha 90.00
_cell_angle_beta 90.00
_cell_angle_gamma 120.00
_space_group_name_H-M_alt 'P 1'
_space_group_IT_number 1
loop_
_space_group_symop_operation_xyz
'x,y,z'
loop_
_atom_site_label
_atom_site_type_symbol
_atom_site_fract_x
_atom_site_fract_y
_atom_site_fract_z
_atom_site_occupancy
Pm1 Pm 0.0000 0.2777 0.3188 1
Pm2 Pm 0.0000 0.7223 0.6812 1
Pm3 Pm 0.2777 0.0000 0.3188 1
Pm4 Pm 0.2777 0.2777 0.6812 1
Pm5 Pm 0.3333 0.6667 0.0000 1
Pm6 Pm 0.3333 0.6667 0.5000 1
Pm7 Pm 0.6667 0.3333 0.0000 1
Pm8 Pm 0.6667 0.3333 0.5000 1
Pm9 Pm 0.7223 0.0000 0.6812 1
Pm10 Pm 0.7223 0.7223 0.3188 1
Nd1 Nd 0.0000 0.0000 0.0000 1
Er1 Er 0.0000 0.3711 0.8101 1
Er2 Er 0.0000 0.6289 0.1899 1
Er3 Er 0.3711 0.0000 0.8101 1
Er4 Er 0.3711 0.3711 0.1899 1
Er5 Er 0.6289 0.0000 0.1899 1
Er6 Er 0.6289 0.6289 0.8101 1
```

Summary:
Total energy   -4.55 eV/atom
Formation energy   133 meV/atom
Crystal system   trigonal
Space group   P-31m (162)

***

DFT (PBE-GGA) results for a relaxed PmNdEr4 crystal.

```
data_PmNdEr4
_cell_length_a 10.3286
_cell_length_b 10.3286
_cell_length_c 5.8229
_cell_angle_alpha 90.02
_cell_angle_beta 90.02
_cell_angle_gamma 140.36
_space_group_name_H-M_alt 'P 1'
_space_group_IT_number 1
loop_
_space_group_symop_operation_xyz
'x,y,z'
loop_
_atom_site_label
_atom_site_type_symbol
_atom_site_fract_x
_atom_site_fract_y
_atom_site_fract_z
_atom_site_occupancy
Pm1 Pm 0.0532 0.9468 0.7500 1
Pm2 Pm 0.9468 0.0532 0.2500 1
Nd1 Nd 0.4466 0.5534 0.2500 1
Nd2 Nd 0.5534 0.4466 0.7500 1
Er1 Er 0.0404 0.4593 0.2500 1
Er2 Er 0.1375 0.3620 0.7500 1
Er3 Er 0.3620 0.1375 0.2500 1
Er4 Er 0.4593 0.0404 0.7500 1
Er5 Er 0.5407 0.9596 0.2500 1
Er6 Er 0.6380 0.8625 0.7500 1
Er7 Er 0.8625 0.6380 0.2500 1
Er8 Er 0.9596 0.5407 0.7500 1
```

Summary:
Total energy   -4.44 eV/atom
Formation energy   184 meV/atom
Crystal system   monoclinic
Polymorph energy (0 for the lowest one)   165 meV/atom
Space group   C2/c (15)

***

DFT (PBE-GGA) results for a relaxed PmNd5Er3 crystal.

```
data_PmNd5Er3
_cell_length_a 10.5779
_cell_length_b 10.5779
_cell_length_c 11.6581
_cell_angle_alpha 120.43
_cell_angle_beta 120.43
_cell_angle_gamma 34.43
_space_group_name_H-M_alt 'P 1'
_space_group_IT_number 1
loop_
_space_group_symop_operation_xyz
'x,y,z'
loop_
_atom_site_label
_atom_site_type_symbol
_atom_site_fract_x
_atom_site_fract_y
_atom_site_fract_z
_atom_site_occupancy
Pm1 Pm 0.1195 0.8805 0.7500 1
Pm2 Pm 0.8805 0.1195 0.2500 1
Nd1 Nd 0.0049 0.6355 0.1651 1
Nd2 Nd 0.1832 0.5369 0.8454 1
Nd3 Nd 0.3645 0.9951 0.3349 1
Nd4 Nd 0.3970 0.6030 0.2500 1
Nd5 Nd 0.4631 0.8168 0.6546 1
Nd6 Nd 0.5369 0.1832 0.3454 1
Nd7 Nd 0.6030 0.3970 0.7500 1
Nd8 Nd 0.6355 0.0049 0.6651 1
Nd9 Nd 0.8168 0.4631 0.1546 1
Nd10 Nd 0.9951 0.3645 0.8349 1
Er1 Er 0.0000 0.0000 0.0000 1
Er2 Er 0.0000 0.0000 0.5000 1
Er3 Er 0.0432 0.6022 0.4695 1
Er4 Er 0.3978 0.9568 0.0305 1
Er5 Er 0.6022 0.0432 0.9695 1
Er6 Er 0.9568 0.3978 0.5305 1
```

Summary:
Total energy   -4.42 eV/atom
Formation energy   281 meV/atom
Crystal system   monoclinic
Polymorph energy (0 for the lowest one)   0 meV/atom
Space group   C2/c (15)